# 1
## KCu2BrF2 (PBE-GGA)

Data for a geometry-optimized KCu2BrF2 structure.

Space-group type: P2_1/m, No. 11
Uncorrected energy (eV for the cell shown): -44.99
Calculated volume (Å³ per cell): 228.7
Formation energy without anion corrections (eV/atom): -1.2979

```
KCu2BrF2
1.0
6.1247 0.0000 0.0000
0.0000 4.8990 0.0000
-2.6012 0.0000 7.6232
K Cu Br F
2 4 2 4
Direct
0.1882 0.2500 0.3982
0.8118 0.7500 0.6018
0.3870 0.9996 0.8459
0.3870 0.5004 0.8459
0.6130 0.0004 0.1541
0.6130 0.4996 0.1541
0.2336 0.7500 0.0642
0.7664 0.2500 0.9358
0.1116 0.2500 0.6959
0.3815 0.7500 0.6280
0.6185 0.2500 0.3720
0.8884 0.7500 0.3041
```

---

# 2
## La2CuBrF (PBE-GGA)

Data for a geometry-optimized La2CuBrF structure.

Space-group type: P4/mmm, No. 123
Uncorrected energy (eV for the cell shown): -23.03
Calculated volume (Å³ per cell): 127.9
Formation energy without anion corrections (eV/atom): -1.1078
Fermi-level density of states (states/eV per cell): 2.35

```
La2CuBrF
1.0
4.9244 0.0000 0.0000
0.0000 4.9244 0.0000
0.0000 0.0000 5.2733
La Cu Br F
2 1 1 1
Direct
0.0000 0.5000 0.0000
0.5000 0.0000 0.0000
0.0000 0.0000 0.5000
0.5000 0.5000 0.5000
0.5000 0.5000 0.0000
```

---

# 3
## LiCuBr2F (PBE-GGA)

Data for a geometry-optimized LiCuBr2F structure.

Space-group type: P4/mmm, No. 123
Uncorrected energy (eV for the cell shown): -16.35
Calculated volume (Å³ per cell): 101.2
Formation energy without anion corrections (eV/atom): -1.0240
Fermi-level density of states (states/eV per cell): 0.77

```
LiCuBr2F
1.0
5.1104 0.0000 0.0000
0.0000 5.1104 0.0000
0.0000 0.0000 3.8740
Li Cu Br F
1 1 2 1
Direct
0.0000 0.0000 0.0000
0.5000 0.5000 0.5000
0.0000 0.5000 0.5000
0.5000 0.0000 0.5000
0.5000 0.5000 0.0000
```